[1]
Here is Li2Mn3Cr3O12 after structural relaxation from Alexandria via LeMat-Bulk. Energies are from PBE with a Hubbard U.

- Calculated volume: 11.21 Å³/atom
- DOS at the Fermi energy: 0.13 states/eV per atom
- Final energy: -7.061 eV per atom
- Crystal system: monoclinic

The structure in CIF format:
```
data_Li2Mn3Cr3O12
_chemical_formula_sum 'Li2 Mn3 Cr3 O12'
_cell_length_a 5.109
_cell_length_b 8.788
_cell_length_c 5.300
_cell_angle_alpha 90.00
_cell_angle_beta 109.53
_cell_angle_gamma 90.00
_space_group_name_H-M_alt 'P 1 2/m 1'
_space_group_IT_number 10
loop_
_space_group_symop_operation_xyz
'x,y,z'
'-x,-y,-z'
'-x,y,-z'
'x,-y,z'
loop_
_atom_site_label
_atom_site_fract_x
_atom_site_fract_y
_atom_site_fract_z
Li1 0.000 0.000 0.000
Li2 0.500 0.500 0.000
Mn1 0.000 0.168 0.500
Mn2 0.000 0.500 0.500
Cr1 0.500 0.000 0.500
Cr2 0.500 0.329 0.500
O1 0.220 0.000 0.701
O2 0.233 0.337 0.702
O3 0.252 0.165 0.299
O4 0.269 0.500 0.309
```

---

[2]
Here is LiMn2Cr3O8 after structural relaxation from Alexandria via LeMat-Bulk. Energies are from PBE with a Hubbard U.

- Calculated volume: 10.97 Å³/atom
- Final energy: -7.533 eV per atom
- Crystal system: trigonal

The structure in CIF format:
```
data_LiMn2Cr3O8
_chemical_formula_sum 'Li3 Mn6 Cr9 O24'
_cell_length_a 6.0251
_cell_length_b 6.0251
_cell_length_c 14.6562
_cell_angle_alpha 90.00
_cell_angle_beta 90.00
_cell_angle_gamma 120.00
_space_group_name_H-M_alt 'R 3 m'
_space_group_IT_number 160
_space_group_name_Hall 'R 3 -2"'
loop_
_atom_site_label
_atom_site_fract_x
_atom_site_fract_y
_atom_site_fract_z
Li1 0.0000 0.0000 0.0000
Mn1 0.0000 0.0000 0.2565
Mn2 0.0000 0.0000 0.6315
Cr1 0.1686 0.3373 0.4627
O1 0.0000 0.0000 0.3944
O2 0.0000 0.0000 0.8659
O3 0.0398 0.5199 0.3806
O4 0.1866 0.3732 0.2112
```

---

What did the first record say?
Here is Li2Mn3Cr3O12 after structural relaxation from Alexandria via LeMat-Bulk. Energies are from PBE with a Hubbard U.

- Calculated volume: 11.21 Å³/atom
- DOS at the Fermi energy: 0.13 states/eV per atom
- Final energy: -7.061 eV per atom
- Crystal system: monoclinic

The structure in CIF format:
```
data_Li2Mn3Cr3O12
_chemical_formula_sum 'Li2 Mn3 Cr3 O12'
_cell_length_a 5.109
_cell_length_b 8.788
_cell_length_c 5.300
_cell_angle_alpha 90.00
_cell_angle_beta 109.53
_cell_angle_gamma 90.00
_space_group_name_H-M_alt 'P 1 2/m 1'
_space_group_IT_number 10
loop_
_space_group_symop_operation_xyz
'x,y,z'
'-x,-y,-z'
'-x,y,-z'
'x,-y,z'
loop_
_atom_site_label
_atom_site_fract_x
_atom_site_fract_y
_atom_site_fract_z
Li1 0.000 0.000 0.000
Li2 0.500 0.500 0.000
Mn1 0.000 0.168 0.500
Mn2 0.000 0.500 0.500
Cr1 0.500 0.000 0.500
Cr2 0.500 0.329 0.500
O1 0.220 0.000 0.701
O2 0.233 0.337 0.702
O3 0.252 0.165 0.299
O4 0.269 0.500 0.309
```

---

- Which value of calculated volume does entry 1 give?
  11.21 Å³/atom

---

- Among the records above, which one has the lowest final energy?
  LiMn2Cr3O8

---

- The lowest final energy belongs to which entry?
  LiMn2Cr3O8